The following is a DFT calculation (GGA-PBE) of a geometry-optimized SrRu3Cl structure.

abc: 4.514 4.514 4.514
angles: 90.00 90.00 90.00
Sites, in units of the cell vectors:
Ru 0.000 0.500 0.000
Sr 0.500 0.500 0.500
Cl 0.000 0.000 0.000
Ru 0.500 0.000 0.000
Ru 0.000 0.000 0.500

Energy relative to the elements, uncorrected   814 meV per atom
Excess energy over the best structure of this formula in the dataset   0.00 eV/f.u.
V   92.0 Å³/cell

The following is a DFT calculation (GGA-PBE) of a geometry-optimized GdThCd2 structure.

abc: 3.430 3.430 9.200
angles: 90.00 90.00 90.00
Sites, in units of the cell vectors:
Cd 0.000 0.000 0.742
Th 0.500 0.500 0.000
Cd 0.000 0.000 0.258
Gd 0.500 0.500 0.500

Excess energy over the best structure of this formula in the dataset   0.00 eV/f.u.
V   108.2 Å³/cell
ΔE_f   -200 meV per atom

The following is a DFT calculation (GGA-PBE) of a geometry-optimized SbBrF2 structure.

abc: 8.030 8.030 8.030
angles: 145.34 145.34 49.82
Sites, in units of the cell vectors:
F 0.917 0.625 0.792
Br 0.500 0.500 0.000
F 0.375 0.167 0.292
Sb 0.000 0.000 0.000
F 0.875 0.083 0.708
Sb 0.750 0.250 0.500
Br 0.250 0.750 0.500
F 0.833 0.125 0.208

Energy relative to the elements, uncorrected   -1354 meV per atom
Excess energy over the best structure of this formula in the dataset   1.51 eV/f.u.
V   166.7 Å³/cell

The following is a DFT calculation (GGA-PBE) of a geometry-optimized PmY2Pb4 structure.

abc: 4.891 4.891 9.797
angles: 104.40 104.46 90.00
Sites, in units of the cell vectors:
Pb 0.123 0.623 0.247
Pm 0.000 0.000 0.000
Pb 0.376 0.875 0.753
Pb 0.877 0.377 0.753
Pb 0.624 0.125 0.247
Y 0.757 0.757 0.513
Y 0.243 0.243 0.487

V   219.3 Å³/cell
ΔE_f   -391 meV per atom

The following is a DFT calculation (GGA-PBE) of a geometry-optimized KPb structure.

abc: 3.512 3.512 5.787
angles: 90.00 90.00 90.00
Sites, in units of the cell vectors:
K 0.000 0.000 0.000
Pb 0.500 0.500 0.500

Excess energy over the best structure of this formula in the dataset   0.40 eV/f.u.
V   71.4 Å³/cell
ΔE_f   -42 meV per atom

The following is a DFT calculation (GGA-PBE) of a geometry-optimized TbMnN2 structure.

abc: 3.243 5.437 10.505
angles: 90.00 90.00 90.00
Sites, in units of the cell vectors:
Mn 0.250 0.583 0.108
Tb 0.750 0.094 0.142
N 0.250 0.288 0.987
N 0.250 0.842 0.244
Tb 0.250 0.406 0.642
Tb 0.750 0.594 0.358
Mn 0.750 0.417 0.892
N 0.250 0.788 0.513
Mn 0.250 0.083 0.392
N 0.750 0.158 0.756
N 0.250 0.342 0.256
Mn 0.750 0.917 0.608
N 0.750 0.212 0.487
Tb 0.250 0.906 0.858
N 0.750 0.658 0.744
N 0.750 0.712 0.013

Energy relative to the elements, uncorrected   -961 meV per atom
V   185.2 Å³/cell

The following is a DFT calculation (GGA-PBE) of a geometry-optimized MnNbSiOs structure.

abc: 4.276 4.276 4.276
angles: 60.00 60.00 60.00
Sites, in units of the cell vectors:
Mn 0.000 0.000 0.000
Nb 0.250 0.250 0.250
Os 0.500 0.500 0.500
Si 0.750 0.750 0.750

Energy relative to the elements, uncorrected   -320 meV per atom
V   55.3 Å³/cell

The following is a DFT calculation (GGA-PBE) of a geometry-optimized Mg6Tl2Ag structure.

abc: 3.558 8.114 8.116
angles: 119.99 90.00 90.00
Sites, in units of the cell vectors:
Mg 0.500 0.370 0.370
Tl 0.000 0.333 0.667
Mg 0.500 0.630 0.000
Ag 0.500 0.000 0.000
Mg 0.000 0.000 0.267
Tl 0.000 0.667 0.333
Mg 0.000 0.733 0.733
Mg 0.500 0.000 0.630
Mg 0.000 0.267 0.000

V   203.0 Å³/cell
ΔE_f   -87 meV per atom

The following is a DFT calculation (GGA-PBE) of a geometry-optimized Pu6InGe5 structure.

abc: 4.620 8.472 8.413
angles: 120.24 105.94 90.00
Sites, in units of the cell vectors:
In 0.000 0.000 0.000
Ge 0.670 0.670 0.340
Pu 0.828 0.088 0.655
Ge 0.330 0.330 0.660
Pu 0.500 0.733 0.000
Pu 0.500 0.267 0.000
Ge 0.657 0.157 0.314
Pu 0.172 0.912 0.345
Ge 0.343 0.843 0.686
Ge 0.000 0.500 0.000
Pu 0.172 0.433 0.345
Pu 0.828 0.567 0.655

V   269.7 Å³/cell
ΔE_f   -382 meV per atom

The following is a DFT calculation (GGA-PBE) of a geometry-optimized Ac5TmZn6 structure.

abc: 5.424 7.691 9.451
angles: 65.99 73.22 90.00
Sites, in units of the cell vectors:
Zn 0.158 0.392 0.686
Zn 0.500 0.780 0.000
Ac 0.335 0.335 0.330
Tm 0.000 0.000 0.000
Zn 0.842 0.077 0.314
Zn 0.842 0.608 0.314
Ac 0.330 0.830 0.340
Zn 0.158 0.923 0.686
Ac 0.665 0.665 0.670
Ac 0.670 0.170 0.660
Zn 0.500 0.220 0.000
Ac 0.000 0.500 0.000

V   341.7 Å³/cell
ΔE_f   -237 meV per atom

The following is a DFT calculation (GGA-PBE) of a geometry-optimized Li2YPbCl structure.

abc: 4.902 4.902 5.422
angles: 90.00 90.00 90.00
Sites, in units of the cell vectors:
Cl 0.000 0.000 0.000
Y 0.000 0.000 0.500
Li 0.500 0.000 0.000
Li 0.000 0.500 0.000
Pb 0.500 0.500 0.500

Energy relative to the elements, uncorrected   -748 meV per atom
V   130.3 Å³/cell

The following is a DFT calculation (GGA-PBE) of a geometry-optimized Tc3Sb5 structure.

abc: 6.053 6.053 4.620
angles: 90.00 90.00 108.79
Sites, in units of the cell vectors:
Sb 0.282 0.282 0.500
Sb 0.718 0.718 0.500
Sb 0.000 0.000 0.000
Sb 0.500 0.000 0.000
Tc 0.264 0.736 0.500
Sb 0.000 0.500 0.000
Tc 0.736 0.264 0.500
Tc 0.500 0.500 0.000

Energy relative to the elements, uncorrected   435 meV per atom
Excess energy over the best structure of this formula in the dataset   1.39 eV/f.u.
V   160.3 Å³/cell